# Li4Ga2IrPd PBE-GGA relaxed
data_Li4Ga2IrPd
_chemical_formula_sum 'Li4 Ga2 Ir1 Pd1'
_symmetry_space_group_name_H-M 'P 1'
_symmetry_Int_Tables_number 1
_symmetry_space_group_name_Hall 'P 1'
_cell_length_a 4.262
_cell_length_b 4.262
_cell_length_c 6.034
_cell_angle_alpha 90.00
_cell_angle_beta 90.00
_cell_angle_gamma 90.00
loop_
_atom_site_label
_atom_site_fract_x
_atom_site_fract_y
_atom_site_fract_z
Li1 0.000 0.000 0.000
Li2 0.000 0.500 0.749
Li3 0.500 0.000 0.251
Li4 0.500 0.500 0.500
Ga1 0.000 0.500 0.235
Ga2 0.500 0.000 0.765
Ir1 0.500 0.500 0.000
Pd1 0.000 0.000 0.500
# size of the total moment: 0.000 μB per atom
# energy: -3.967 eV per atom
# space-group type: P-4m2 (115)
# calculated volume: 109.6 Å³ per cell

# Li2Zr2Ga2IrPd PBE-GGA relaxed
data_Li2Zr2Ga2IrPd
_chemical_formula_sum 'Li2 Zr2 Ga2 Ir1 Pd1'
_symmetry_space_group_name_H-M 'P 1'
_symmetry_Int_Tables_number 1
_symmetry_space_group_name_Hall 'P 1'
_cell_length_a 4.483
_cell_length_b 4.483
_cell_length_c 6.330
_cell_angle_alpha 90.00
_cell_angle_beta 90.00
_cell_angle_gamma 90.00
loop_
_atom_site_label
_atom_site_fract_x
_atom_site_fract_y
_atom_site_fract_z
Li1 0.000 0.000 0.000
Li2 0.500 0.500 0.500
Zr1 0.000 0.500 0.747
Zr2 0.500 0.000 0.253
Ga1 0.000 0.500 0.252
Ga2 0.500 0.000 0.748
Ir1 0.000 0.000 0.500
Pd1 0.500 0.500 0.000
# size of the total moment: 0.012 μB per atom
# energy: -5.768 eV per atom
# space-group type: P-4m2 (115)
# calculated volume: 127.2 Å³ per cell

# Li2Zn2Ga2IrPt PBE-GGA relaxed
data_Li2Zn2Ga2IrPt
_chemical_formula_sum 'Li2 Zn2 Ga2 Ir1 Pt1'
_symmetry_space_group_name_H-M 'P 1'
_symmetry_Int_Tables_number 1
_symmetry_space_group_name_Hall 'P 1'
_cell_length_a 4.302
_cell_length_b 4.302
_cell_length_c 6.077
_cell_angle_alpha 90.00
_cell_angle_beta 90.00
_cell_angle_gamma 90.00
loop_
_atom_site_label
_atom_site_fract_x
_atom_site_fract_y
_atom_site_fract_z
Li1 0.000 0.000 0.000
Li2 0.500 0.500 0.500
Zn1 0.000 0.500 0.747
Zn2 0.500 0.000 0.253
Ga1 0.000 0.500 0.257
Ga2 0.500 0.000 0.743
Ir1 0.000 0.000 0.500
Pt1 0.500 0.500 0.000
# size of the total moment: 0.000 μB per atom
# energy: -3.946 eV per atom
# space-group type: P-4m2 (115)
# calculated volume: 112.5 Å³ per cell

# Li2Zr2Ga2IrPt PBE-GGA relaxed
data_Li2Zr2Ga2IrPt
_chemical_formula_sum 'Li2 Zr2 Ga2 Ir1 Pt1'
_symmetry_space_group_name_H-M 'P 1'
_symmetry_Int_Tables_number 1
_symmetry_space_group_name_Hall 'P 1'
_cell_length_a 4.480
_cell_length_b 4.480
_cell_length_c 6.332
_cell_angle_alpha 90.00
_cell_angle_beta 90.00
_cell_angle_gamma 90.00
loop_
_atom_site_label
_atom_site_fract_x
_atom_site_fract_y
_atom_site_fract_z
Li1 0.000 0.000 0.000
Li2 0.500 0.500 0.500
Zr1 0.000 0.500 0.748
Zr2 0.500 0.000 0.252
Ga1 0.000 0.500 0.256
Ga2 0.500 0.000 0.744
Ir1 0.000 0.000 0.500
Pt1 0.500 0.500 0.000
# size of the total moment: 0.013 μB per atom
# energy: -5.978 eV per atom
# space-group type: P-4m2 (115)
# calculated volume: 127.1 Å³ per cell

# LiGaSbIr PBE-GGA relaxed
data_LiGaSbIr
_chemical_formula_sum 'Li1 Ga1 Sb1 Ir1'
_symmetry_space_group_name_H-M 'P 1'
_symmetry_Int_Tables_number 1
_symmetry_space_group_name_Hall 'P 1'
_cell_length_a 4.558
_cell_length_b 4.558
_cell_length_c 4.558
_cell_angle_alpha 60.00
_cell_angle_beta 60.00
_cell_angle_gamma 60.00
loop_
_atom_site_label
_atom_site_fract_x
_atom_site_fract_y
_atom_site_fract_z
Li1 0.000 0.000 0.000
Ga1 0.500 0.500 0.500
Sb1 0.250 0.250 0.250
Ir1 0.750 0.750 0.750
# energy relative to the lowest polymorph listed for this composition: 1.38 eV per formula unit
# size of the total moment: 0.001 μB per atom
# space-group type: F-43m (216)
# calculated volume: 66.9 Å³ per cell

# LiGaSbIr PBE-GGA relaxed
data_LiGaSbIr
_chemical_formula_sum 'Li1 Ga1 Sb1 Ir1'
_symmetry_space_group_name_H-M 'P 1'
_symmetry_Int_Tables_number 1
_symmetry_space_group_name_Hall 'P 1'
_cell_length_a 4.516
_cell_length_b 4.516
_cell_length_c 4.516
_cell_angle_alpha 60.00
_cell_angle_beta 60.00
_cell_angle_gamma 60.00
loop_
_atom_site_label
_atom_site_fract_x
_atom_site_fract_y
_atom_site_fract_z
Li1 0.000 0.000 0.000
Ga1 0.750 0.750 0.750
Sb1 0.250 0.250 0.250
Ir1 0.500 0.500 0.500
# energy relative to the lowest polymorph listed for this composition: 0.00 eV per formula unit
# size of the total moment: 0.000 μB per atom
# space-group type: F-43m (216)
# calculated volume: 65.1 Å³ per cell